No. 1
! HoGeBRh3 PBE-GGA relaxed; values from VASP
&SYSTEM
  ibrav = 0, nat = 12, ntyp = 4
/
ATOMIC_SPECIES
Ho 164.93 Ho.upf
Ge 72.64 Ge.upf
B 10.81 B.upf
Rh 102.91 Rh.upf
CELL_PARAMETERS angstrom
5.7425 0.0000 0.0000
0.0000 5.6795 0.0000
0.0000 -2.8397 6.0413
ATOMIC_POSITIONS crystal
Ho 0.7500 0.2583 0.5165
Ho 0.2500 0.7417 0.4835
Ge 0.2500 0.3738 0.7475
Ge 0.7500 0.6262 0.2525
B 0.2500 0.0063 0.0126
B 0.7500 0.9937 0.9874
Rh 0.2500 0.1796 0.3591
Rh 0.0000 0.2546 0.0000
Rh 0.5000 0.7454 0.0000
Rh 0.5000 0.2546 0.0000
Rh 0.0000 0.7454 0.0000
Rh 0.7500 0.8204 0.6409
! D(E_F) in states/eV/atom: 0.516
! M_tot in μB/f.u.: 0.000
! E in eV/atom: -6.97

---

No. 2
! CdHIr PBE-GGA relaxed; values from VASP
&SYSTEM
  ibrav = 0, nat = 3, ntyp = 3
/
ATOMIC_SPECIES
H 1.01 H.upf
Ir 192.22 Ir.upf
Cd 112.41 Cd.upf
CELL_PARAMETERS angstrom
-1.9674 -1.5873 -1.7734
2.5674 -1.3548 1.0528
-2.2772 -1.3873 3.7679
ATOMIC_POSITIONS crystal
H 0.3333 0.6667 0.5324
Ir 0.6667 0.3333 0.4806
Cd 0.0000 0.0000 0.9869
! Energy above the lowest structure with this stoichiometry in meV per atom: 2.3
! D(E_F) in states/eV/atom: 0.448
! M_tot in μB/f.u.: 0.000

---

No. 3
! GaCu2ReMo PBE-GGA relaxed; values from VASP
&SYSTEM
  ibrav = 0, nat = 5, ntyp = 4
/
ATOMIC_SPECIES
Re 186.21 Re.upf
Mo 95.94 Mo.upf
Cu 63.55 Cu.upf
Ga 69.72 Ga.upf
CELL_PARAMETERS angstrom
4.5516 0.0000 0.0000
0.0000 4.7141 0.0000
0.0000 0.0000 4.5516
ATOMIC_POSITIONS crystal
Re 0.5000 0.5000 0.5000
Mo 0.0000 0.0000 0.0000
Cu 0.0000 0.0000 0.5000
Cu 0.5000 0.0000 0.0000
Ga 0.0000 0.5000 0.0000
! D(E_F) in states/eV/atom: 0.946
! M_tot in μB/f.u.: 2.505
! E in eV/atom: -4.95

---

No. 4
! Ce2OsC2 PBE-GGA relaxed; values from VASP
&SYSTEM
  ibrav = 0, nat = 20, ntyp = 3
/
ATOMIC_SPECIES
Ce 140.12 Ce.upf
Os 190.23 Os.upf
C 12.01 C.upf
CELL_PARAMETERS angstrom
5.2784 0.0000 0.0000
0.0000 6.4843 0.0000
0.0000 0.0000 9.8856
ATOMIC_POSITIONS crystal
Ce 0.7500 0.6960 0.5441
Ce 0.2500 0.8040 0.0441
Ce 0.2500 0.3040 0.4559
Ce 0.7500 0.1960 0.9559
Ce 0.7500 0.0173 0.2766
Ce 0.2500 0.4827 0.7766
Ce 0.2500 0.9827 0.7234
Ce 0.7500 0.5173 0.2234
Os 0.7500 0.2289 0.6382
Os 0.2500 0.2711 0.1382
Os 0.2500 0.7711 0.3618
Os 0.7500 0.7289 0.8618
C 0.7500 0.4705 0.7545
C 0.2500 0.0295 0.2545
C 0.2500 0.5295 0.2455
C 0.7500 0.9705 0.7455
C 0.7500 0.8311 0.0534
C 0.2500 0.6689 0.5534
C 0.2500 0.1689 0.9466
C 0.7500 0.3311 0.4466
! Energy above the lowest structure with this stoichiometry in meV per atom: 0.0
! D(E_F) in states/eV/atom: 1.373
! M_tot in μB/f.u.: 0.002

---

No. 5
! BPb2N PBE-GGA relaxed; values from VASP
&SYSTEM
  ibrav = 0, nat = 4, ntyp = 3
/
ATOMIC_SPECIES
Pb 207.20 Pb.upf
B 10.81 B.upf
N 14.01 N.upf
CELL_PARAMETERS angstrom
0.0000 3.2949 3.2949
3.2949 0.0000 3.2949
3.2949 3.2949 0.0000
ATOMIC_POSITIONS crystal
Pb 0.2500 0.2500 0.2500
Pb 0.7500 0.7500 0.7500
B 0.0000 0.0000 0.0000
N 0.5000 0.5000 0.5000
! Energy above the lowest structure with this stoichiometry in meV per atom: 731.0
! D(E_F) in states/eV/atom: 0.887
! M_tot in μB/f.u.: 0.004
! Energy relative to the elements, uncorrected in eV per atom: 1.580

---

No. 6
! ZrAg2W PBE-GGA relaxed; values from VASP
&SYSTEM
  ibrav = 0, nat = 4, ntyp = 3
/
ATOMIC_SPECIES
Ag 107.87 Ag.upf
W 183.84 W.upf
Zr 91.22 Zr.upf
CELL_PARAMETERS angstrom
4.9838 0.0000 0.0000
0.0000 2.7668 0.0009
0.0000 1.0665 5.2928
ATOMIC_POSITIONS crystal
Ag 0.0000 0.0397 0.0106
Ag 0.0000 0.4603 0.4894
W 0.5000 0.2500 0.2500
Zr 0.5000 0.7500 0.7500
! D(E_F) in states/eV/atom: 0.720
! M_tot in μB/f.u.: 0.000
! E in eV/atom: -6.42